[1]
# PBE SrLi2AsBr, relaxed
data_SrLi2AsBr
_space_group_name_H-M_alt 'P 4/m m m'
_space_group_IT_number 123
_space_group_name_Hall '-P 4 2'
_cell_length_a 6.8991
_cell_length_b 6.8991
_cell_length_c 5.3774
_cell_angle_alpha 90.00
_cell_angle_beta 90.00
_cell_angle_gamma 90.00
loop_
_atom_site_label
_atom_site_type_symbol
_atom_site_fract_x
_atom_site_fract_y
_atom_site_fract_z
_atom_site_occupancy
Sr1 Sr 0.0000 0.0000 0.0000 1
Li1 Li 0.0000 0.5000 0.0000 1
As1 As 0.0000 0.0000 0.5000 1
Br1 Br 0.5000 0.5000 0.5000 1
# - total magnetization (μB/f.u.) = 0.0
# - final energy (eV per formula unit) = -10.06

---

[2]
# PBE Rb2PuAuO6, relaxed
data_Rb2PuAuO6
_space_group_name_H-M_alt 'I 4/m m m'
_space_group_IT_number 139
_space_group_name_Hall '-I 4 2'
_cell_length_a 5.8021
_cell_length_b 5.8021
_cell_length_c 10.2980
_cell_angle_alpha 90.00
_cell_angle_beta 90.00
_cell_angle_gamma 90.00
loop_
_atom_site_label
_atom_site_type_symbol
_atom_site_fract_x
_atom_site_fract_y
_atom_site_fract_z
_atom_site_occupancy
Rb1 Rb 0.0000 0.5000 0.2500 1
Pu1 Pu 0.0000 0.0000 0.0000 1
Au1 Au 0.0000 0.0000 0.5000 1
O1 O 0.0000 0.0000 0.1817 1
O2 O 0.2445 0.2445 0.5000 1
# - total magnetization (μB/f.u.) = 0.9
# - final energy (eV per formula unit) = -65.86

---

[3]
# PBE NdY3Tm6, relaxed
data_NdY3Tm6
_space_group_name_H-M_alt 'C m c 21'
_space_group_IT_number 36
_space_group_name_Hall 'C 2c -2'
_cell_length_a 10.9905
_cell_length_b 18.8250
_cell_length_c 6.1351
_cell_angle_alpha 90.00
_cell_angle_beta 90.00
_cell_angle_gamma 90.00
loop_
_atom_site_label
_atom_site_type_symbol
_atom_site_fract_x
_atom_site_fract_y
_atom_site_fract_z
_atom_site_occupancy
Nd1 Nd 0.0000 0.2092 0.0000 1
Y1 Y 0.0000 0.3917 0.9095 1
Y2 Y 0.1736 0.1076 0.3003 1
Tm1 Tm 0.0000 0.0482 0.7637 1
Tm2 Tm 0.0000 0.2866 0.4792 1
Tm3 Tm 0.1650 0.4517 0.3658 1
Tm4 Tm 0.2456 0.2117 0.7066 1
# - total magnetization (μB/f.u.) = 0.0
# - final energy (eV per formula unit) = -49.56
# - E_form (eV/atom) = 0.142

---

[4]
# PBE BeMo2Os, relaxed
data_BeMo2Os
_space_group_name_H-M_alt 'I m m m'
_space_group_IT_number 71
_space_group_name_Hall '-I 2 2'
_cell_length_a 3.0915
_cell_length_b 4.1074
_cell_length_c 8.6945
_cell_angle_alpha 90.00
_cell_angle_beta 90.00
_cell_angle_gamma 90.00
loop_
_atom_site_label
_atom_site_type_symbol
_atom_site_fract_x
_atom_site_fract_y
_atom_site_fract_z
_atom_site_occupancy
Be1 Be 0.0000 0.0000 0.0000 1
Mo1 Mo 0.0000 0.5000 0.2525 1
Os1 Os 0.0000 0.0000 0.5000 1
# - total magnetization (μB/f.u.) = 0.0
# - final energy (eV per formula unit) = -36.52
# - E_form (eV/atom) = 0.025